Entry 1:
The following is a PBE calculation of a relaxed structure of Au2Br, from the Alexandria database.

Cell lengths 18.1388, 3.9706, 4.3712 Å; angles 90.00, 100.16, 90.00 degrees
Sites, in units of the cell vectors:
Au 0.0546 0.0000 0.2610
Au 0.0620 0.5000 0.7999
Au 0.4380 0.0000 0.2001
Au 0.4454 0.5000 0.7390
Au 0.5546 0.5000 0.2610
Au 0.5620 0.0000 0.7999
Au 0.9380 0.5000 0.2001
Au 0.9454 0.0000 0.7390
Br 0.1699 0.0000 0.7037
Br 0.3301 0.5000 0.2963
Br 0.6699 0.5000 0.7037
Br 0.8301 0.0000 0.2963

Summary:
For the total DFT energy (no corrections), the calculation gives -2.720 eV/atom. As for the uncorrected formation energy: 0.07 eV per formula unit.

Entry 2:
The following is a PBE calculation of a relaxed structure of RbTmCuO3, from the Alexandria database.

Cell lengths 7.5176, 3.5612, 9.2761 Å; angles 90.00, 113.21, 90.00 degrees
Sites, in units of the cell vectors:
Rb 0.2126 0.2500 0.1901
Rb 0.7874 0.7500 0.8099
Tm 0.3251 0.7500 0.8635
Tm 0.6749 0.2500 0.1365
Cu 0.0333 0.2500 0.6234
Cu 0.9667 0.7500 0.3766
O 0.1227 0.2500 0.8503
O 0.1277 0.7500 0.6017
O 0.4764 0.7500 0.1198
O 0.5236 0.2500 0.8802
O 0.8723 0.2500 0.3983
O 0.8773 0.7500 0.1497

Summary:
For the total DFT energy (no corrections), the calculation gives -6.047 eV/atom. As for the uncorrected formation energy: -11.87 eV per formula unit.

Entry 3:
The following is a PBE calculation of a relaxed structure of Na2Ga4NiPt3, from the Alexandria database.

Cell lengths 4.1218, 4.1218, 10.7633 Å; angles 90.00, 90.00, 90.00 degrees
Sites, in units of the cell vectors:
Na 0.0000 0.5000 0.2415
Na 0.5000 0.0000 0.7585
Ga 0.0000 0.0000 0.5000
Ga 0.0000 0.5000 0.8711
Ga 0.5000 0.0000 0.1289
Ga 0.5000 0.5000 0.5000
Ni 0.5000 0.5000 0.0000
Pt 0.0000 0.0000 0.0000
Pt 0.0000 0.5000 0.6390
Pt 0.5000 0.0000 0.3610

Summary:
For the total DFT energy (no corrections), the calculation gives -4.365 eV/atom. The formation energy is -0.5002 eV per atom.